[1]
# SnTePCl2

A geometry-optimized SnTePCl2 structure (PBE, the Alexandria database). Values from VASP.

The structure in Quantum ESPRESSO input format:
```
&SYSTEM
  ibrav = 0, nat = 5, ntyp = 4
/
ATOMIC_SPECIES
Sn 118.71 Sn.upf
Te 127.60 Te.upf
P 30.97 P.upf
Cl 35.45 Cl.upf
ATOMIC_POSITIONS angstrom
Sn 0.000 0.000 0.000
Te 2.523 2.523 2.766
P 0.000 0.000 2.766
Cl 0.000 2.523 0.000
Cl 2.523 0.000 0.000
CELL_PARAMETERS angstrom
5.045 0.000 0.000
0.000 5.045 0.000
0.000 0.000 5.533
```

## Properties
SG: P4/mmm (123)
ΔE_f (raw): 0.172 eV per atom
excess energy over the best structure of this formula in the dataset: 0.000 eV/atom
magnetization: 0.74 Bohr magnetons per cell

=====

[2]
# Ca2TcNiSb

A geometry-optimized Ca2TcNiSb structure (PBE, the Alexandria database). Values from VASP.

The structure in Quantum ESPRESSO input format:
```
&SYSTEM
  ibrav = 0, nat = 5, ntyp = 4
/
ATOMIC_SPECIES
Ca 40.08 Ca.upf
Tc 98.00 Tc.upf
Ni 58.69 Ni.upf
Sb 121.76 Sb.upf
ATOMIC_POSITIONS angstrom
Ca 0.000 2.613 0.000
Ca 2.613 0.000 0.000
Tc 0.000 0.000 2.283
Ni 0.000 0.000 0.000
Sb 2.613 2.613 2.283
CELL_PARAMETERS angstrom
5.226 0.000 0.000
0.000 5.226 0.000
0.000 0.000 4.567
```

## Properties
SG: P4/mmm (123)
ΔE_f (raw): 0.199 eV per atom
magnetization: 2.07 Bohr magnetons per cell

=====

[3]
# BaMnS2

A geometry-optimized BaMnS2 structure (PBE, the Alexandria database). Values from VASP.

The structure in Quantum ESPRESSO input format:
```
&SYSTEM
  ibrav = 0, nat = 12, ntyp = 3
/
ATOMIC_SPECIES
Ba 137.33 Ba.upf
Mn 54.94 Mn.upf
S 32.06 S.upf
ATOMIC_POSITIONS angstrom
Ba 0.000 0.000 0.000
Ba 0.000 2.796 15.054
Ba 2.421 1.398 7.527
Mn 0.000 0.000 11.291
Mn 0.000 2.796 3.764
Mn 2.421 1.398 18.818
S 0.000 0.000 9.078
S 0.000 0.000 13.503
S 0.000 2.796 1.551
S 0.000 2.796 5.976
S 2.421 1.398 16.605
S 2.421 1.398 21.031
CELL_PARAMETERS angstrom
4.843 0.000 0.000
-2.421 4.194 0.000
0.000 0.000 22.581
```

## Properties
SG: R-3m (166)
ΔE_f (raw): -1.021 eV per atom
magnetization: 15.00 Bohr magnetons per cell

=====

[4]
# Ho7PI12

A geometry-optimized Ho7PI12 structure (PBE, the Alexandria database). Values from VASP.

The structure in Quantum ESPRESSO input format:
```
&SYSTEM
  ibrav = 0, nat = 20, ntyp = 3
/
ATOMIC_SPECIES
Ho 164.93 Ho.upf
P 30.97 P.upf
I 126.90 I.upf
ATOMIC_POSITIONS angstrom
Ho 0.000 0.000 0.000
Ho -1.561 -1.526 3.696
Ho -0.541 2.115 3.696
Ho 2.102 -0.589 3.696
Ho -2.102 0.589 6.654
Ho 0.541 -2.115 6.654
Ho 1.561 1.526 6.654
P 0.000 0.000 5.175
I -2.432 0.685 1.707
I 0.622 -2.449 1.707
I -4.210 -1.091 5.144
I -1.160 -4.191 5.205
I 1.809 1.763 1.707
I -3.050 3.100 5.205
I 3.050 -3.100 5.144
I -1.809 -1.763 8.642
I 1.160 4.191 5.144
I 4.210 1.091 5.205
I -0.622 2.449 8.642
I 2.432 -0.685 8.642
CELL_PARAMETERS angstrom
7.800 4.503 3.450
-7.800 4.503 3.450
0.000 -9.006 3.450
```

## Properties
SG: R-3 (148)
ΔE_f (raw): -1.307 eV per atom
magnetization: 0.00 Bohr magnetons per cell

=====

[5]
# Ho2Tm2ZnPd4

A geometry-optimized Ho2Tm2ZnPd4 structure (PBE, the Alexandria database). Values from VASP.

The structure in Quantum ESPRESSO input format:
```
&SYSTEM
  ibrav = 0, nat = 9, ntyp = 4
/
ATOMIC_SPECIES
Ho 164.93 Ho.upf
Tm 168.93 Tm.upf
Zn 65.41 Zn.upf
Pd 106.42 Pd.upf
ATOMIC_POSITIONS angstrom
Ho 0.000 0.000 1.592
Ho 0.000 0.000 6.855
Tm 3.395 0.000 2.112
Tm 0.000 3.395 2.112
Zn 0.000 0.000 4.224
Pd 1.638 1.638 0.000
Pd 1.757 -1.757 4.224
Pd -1.757 1.757 4.224
Pd 1.757 1.757 4.224
CELL_PARAMETERS angstrom
-3.395 3.395 4.224
3.395 -3.395 4.224
3.395 3.395 -4.224
```

## Properties
SG: I4/mmm (139)
E_form: -0.5295 eV/atom
magnetization: 0.00 Bohr magnetons per cell

=====

[6]
# PrDy2Er3S6

A geometry-optimized PrDy2Er3S6 structure (PBE, the Alexandria database). Values from VASP.

The structure in Quantum ESPRESSO input format:
```
&SYSTEM
  ibrav = 0, nat = 12, ntyp = 4
/
ATOMIC_SPECIES
Pr 140.91 Pr.upf
Dy 162.50 Dy.upf
Er 167.26 Er.upf
S 32.06 S.upf
ATOMIC_POSITIONS angstrom
Pr 0.000 0.000 0.000
Dy 3.383 1.948 0.000
Dy 3.383 -1.948 0.000
Er 2.252 3.980 3.209
Er 2.252 0.000 3.209
Er 2.252 -3.980 3.209
S 1.162 2.024 1.675
S 0.065 0.000 4.767
S 1.162 -2.024 1.675
S 3.342 2.024 4.744
S 4.439 0.000 1.652
S 3.342 -2.024 4.744
CELL_PARAMETERS angstrom
3.383 -5.879 0.000
3.383 5.879 0.000
-2.261 0.000 6.419
```

## Properties
SG: C2/m (12)
ΔE_f (raw): -1.979 eV per atom
magnetization: 0.00 Bohr magnetons per cell

=====

[7]
# BaC5

A geometry-optimized BaC5 structure (PBE, the Alexandria database). Values from VASP.

The structure in Quantum ESPRESSO input format:
```
&SYSTEM
  ibrav = 0, nat = 6, ntyp = 2
/
ATOMIC_SPECIES
Ba 137.33 Ba.upf
C 12.01 C.upf
ATOMIC_POSITIONS angstrom
Ba 0.000 0.000 0.000
C 0.000 0.000 2.658
C 0.000 0.000 3.997
C 1.767 1.767 1.986
C 1.767 1.767 3.328
C 1.767 1.767 4.669
CELL_PARAMETERS angstrom
3.534 0.000 0.000
0.000 3.534 0.000
0.000 0.000 6.655
```

## Properties
SG: P4/mmm (123)
excess energy over the best structure of this formula in the dataset: 1.058 eV/atom
E_form: 1.9188 eV/atom
magnetization: 0.00 Bohr magnetons per cell

=====

[8]
# PuNi4P4

A geometry-optimized PuNi4P4 structure (PBE, the Alexandria database). Values from VASP.

The structure in Quantum ESPRESSO input format:
```
&SYSTEM
  ibrav = 0, nat = 18, ntyp = 3
/
ATOMIC_SPECIES
Pu 244.00 Pu.upf
Ni 58.69 Ni.upf
P 30.97 P.upf
ATOMIC_POSITIONS angstrom
Pu 1.446 4.339 1.835
Pu 4.339 1.446 5.506
Ni 0.161 1.446 1.024
Ni 1.446 0.161 4.695
Ni 1.446 2.732 4.695
Ni 2.732 1.446 1.024
Ni 3.053 4.339 6.318
Ni 4.339 3.053 2.647
Ni 4.339 5.624 2.647
Ni 5.624 4.339 6.318
P 0.162 1.446 3.231
P 1.446 0.162 6.902
P 1.446 2.731 6.902
P 2.731 1.446 3.231
P 3.055 4.339 4.110
P 4.339 3.055 0.439
P 4.339 5.623 0.439
P 5.623 4.339 4.110
CELL_PARAMETERS angstrom
5.785 0.000 0.000
0.000 5.785 0.000
0.000 0.000 7.342
```

## Properties
SG: P4_2/nmc (137)
E_form: -0.5219 eV/atom
magnetization: 10.22 Bohr magnetons per cell

=====

What did the eighth record say?
# PuNi4P4

A geometry-optimized PuNi4P4 structure (PBE, the Alexandria database). Values from VASP.

The structure in Quantum ESPRESSO input format:
```
&SYSTEM
  ibrav = 0, nat = 18, ntyp = 3
/
ATOMIC_SPECIES
Pu 244.00 Pu.upf
Ni 58.69 Ni.upf
P 30.97 P.upf
ATOMIC_POSITIONS angstrom
Pu 1.446 4.339 1.835
Pu 4.339 1.446 5.506
Ni 0.161 1.446 1.024
Ni 1.446 0.161 4.695
Ni 1.446 2.732 4.695
Ni 2.732 1.446 1.024
Ni 3.053 4.339 6.318
Ni 4.339 3.053 2.647
Ni 4.339 5.624 2.647
Ni 5.624 4.339 6.318
P 0.162 1.446 3.231
P 1.446 0.162 6.902
P 1.446 2.731 6.902
P 2.731 1.446 3.231
P 3.055 4.339 4.110
P 4.339 3.055 0.439
P 4.339 5.623 0.439
P 5.623 4.339 4.110
CELL_PARAMETERS angstrom
5.785 0.000 0.000
0.000 5.785 0.000
0.000 0.000 7.342
```

## Properties
SG: P4_2/nmc (137)
E_form: -0.5219 eV/atom
magnetization: 10.22 Bohr magnetons per cell

=====

Please write out number 8 again, unchanged.
# PuNi4P4

A geometry-optimized PuNi4P4 structure (PBE, the Alexandria database). Values from VASP.

The structure in Quantum ESPRESSO input format:
```
&SYSTEM
  ibrav = 0, nat = 18, ntyp = 3
/
ATOMIC_SPECIES
Pu 244.00 Pu.upf
Ni 58.69 Ni.upf
P 30.97 P.upf
ATOMIC_POSITIONS angstrom
Pu 1.446 4.339 1.835
Pu 4.339 1.446 5.506
Ni 0.161 1.446 1.024
Ni 1.446 0.161 4.695
Ni 1.446 2.732 4.695
Ni 2.732 1.446 1.024
Ni 3.053 4.339 6.318
Ni 4.339 3.053 2.647
Ni 4.339 5.624 2.647
Ni 5.624 4.339 6.318
P 0.162 1.446 3.231
P 1.446 0.162 6.902
P 1.446 2.731 6.902
P 2.731 1.446 3.231
P 3.055 4.339 4.110
P 4.339 3.055 0.439
P 4.339 5.623 0.439
P 5.623 4.339 4.110
CELL_PARAMETERS angstrom
5.785 0.000 0.000
0.000 5.785 0.000
0.000 0.000 7.342
```

## Properties
SG: P4_2/nmc (137)
E_form: -0.5219 eV/atom
magnetization: 10.22 Bohr magnetons per cell